Density functional theory data (GGA-PBEsol) for a relaxed structure of Cd2AgP.

Values from the calculation:
**Formation enthalpy at 0 K**: 0.1816 eV/atom

Unit cell a=3.0785 b=5.0059 c=5.0059 alpha=109.53 beta=90.00 gamma=90.00
Fractional coordinates of all 4 atoms:
P: 0.5000 0.0000 0.0000
Ag: 0.5000 0.5000 0.5000
Cd: 0.0000 0.0000 0.5000
Cd: 0.0000 0.5000 0.0000


Density functional theory data (GGA-PBEsol) for a relaxed structure of Tl2OsAu.

Values from the calculation:
**Formation enthalpy at 0 K**: 0.7217 eV/atom
**Energy above the lowest structure with this stoichiometry**: 132.5 meV/atom

Unit cell a=3.0893 b=3.0893 c=9.4304 alpha=80.57 beta=80.57 gamma=60.00
Fractional coordinates of all 4 atoms:
Au: 0.5000 0.5000 0.5000
Os: 0.0000 0.0000 0.0000
Tl: 0.2538 0.2538 0.2385
Tl: 0.7462 0.7462 0.7615


Density functional theory data (GGA-PBEsol) for a relaxed structure of KCo2Te.

Values from the calculation:
**Uncorrected formation energy**: 0.5707 eV per atom

Unit cell a=3.2585 b=5.7264 c=5.8755 alpha=119.16 beta=106.10 gamma=90.00
Site moments in Bohr magnetons follow the coordinates.
Fractional coordinates of all 4 atoms:
K: 0.5077 0.5077 0.0155  -0.01
Te: 0.3170 0.8170 0.6341  -0.02
Co: 0.0115 0.0115 0.0230  1.25
Co: 0.6637 0.1637 0.3275  1.84